Cu2SnAu6 (PBE, relaxed); energy relative to the lowest polymorph listed for this composition = 45 kJ/mol of formula units; DFT total energy = -3.509 eV/atom; symmetry = Amm2, No. 38
1.0
-1.4848 -2.5265 -1.0438
3.9722 -4.3909 4.9777
-6.7652 3.1086 2.0990
Au Cu Sn
6 2 1
direct
0.0000 0.2365 0.8999 Au
0.5000 0.9282 0.5578 Au
0.5000 0.5578 0.9282 Au
0.0000 0.8999 0.2365 Au
0.0000 0.8343 0.8343 Au
0.5000 0.5266 0.5266 Au
0.0000 0.2640 0.5773 Cu
0.0000 0.5773 0.2640 Cu
0.5000 0.1755 0.1755 Sn

***

CuSnAu (PBE, relaxed); energy relative to the lowest polymorph listed for this composition = 24 kJ/mol of formula units; DFT total energy = -3.804 eV/atom; symmetry = I4/mmm, No. 139
1.0
-1.4154 2.1738 1.8507
-2.2327 0.4445 -2.2296
-4.6940 -9.6882 5.0462
Au Cu Sn
2 2 2
direct
0.8414 0.8414 0.6827 Au
0.1586 0.1586 0.3173 Au
0.7237 0.7237 0.4473 Cu
0.2763 0.2763 0.5527 Cu
0.5716 0.5716 0.1432 Sn
0.4284 0.4284 0.8568 Sn

***

CuSnAu (PBE, relaxed); energy relative to the lowest polymorph listed for this composition = 15 kJ/mol of formula units; DFT total energy = -3.838 eV/atom; symmetry = F-43m, No. 216
1.0
4.3744 0.0000 0.0000
2.1872 3.7884 0.0000
2.1872 1.2628 3.5717
Au Cu Sn
1 1 1
direct
0.0000 0.0000 0.0000 Au
0.2500 0.2500 0.2500 Cu
0.5000 0.5000 0.5000 Sn

***

Cu2Sn2Au (PBE, relaxed); energy relative to the lowest polymorph listed for this composition = 53 kJ/mol of formula units; DFT total energy = -3.764 eV/atom; symmetry = P4/mbm, No. 127
1.0
-0.7564 -4.3133 6.3948
3.3129 -5.9843 -3.6446
2.9188 0.9963 1.0172
Cu Sn Au
4 4 2
direct
0.3873 0.1127 0.5000 Cu
0.1127 0.6127 0.5000 Cu
0.6127 0.8873 0.5000 Cu
0.8873 0.3873 0.5000 Cu
0.6827 0.1827 0.0000 Sn
0.1827 0.3173 0.0000 Sn
0.8173 0.6827 0.0000 Sn
0.3173 0.8173 0.0000 Sn
0.0000 0.0000 0.0000 Au
0.5000 0.5000 0.0000 Au

***

Q: Which value of energy relative to the lowest polymorph listed for this composition does entry 3 give?
A: 15 kJ/mol of formula units

***

Q: energy relative to the lowest polymorph listed for this composition of number 2 (CuSnAu)?
A: 24 kJ/mol of formula units

***

Q: Which value of energy relative to the lowest polymorph listed for this composition does entry 3 give?
A: 15 kJ/mol of formula units